A geometry-optimized Cs4Np3SbSe8 structure. Source: Alexandria, functional GGA-PBE.

Computed properties:
E_form (uncorrected) in eV/atom: -1.082
Crystal system: trigonal

Lattice parameters (Å, degrees): 8.7034 8.7034 24.9837 90.00 90.00 120.00
Space group R-3m (No. 166, hexagonal axes)
One atom of each set of equivalent atoms:
Cs 0.0000 0.0000 0.0000 [3 per cell]
Cs 0.0000 0.5000 0.0000 [9 per cell]
Np 0.0000 0.5000 0.5000 [9 per cell]
Sb 0.0000 0.0000 0.5000 [3 per cell]
Se 0.0000 0.0000 0.2282 [6 per cell]
Se 0.0008 0.5004 0.7716 [18 per cell]